--- w ---
Compound: Cu2PtRh
Source: the Alexandria database
Functional: GGA-PBE
Structure: relaxed

Summary:
The value obtained for the theoretical density is 12.92 Mg/m³. The density of states at the Fermi level is 1.343 states/eV/atom.

Cell and atoms, written as POSCAR:
```
Cu2PtRh
1.0
4.6550 0.0010 -0.0006
3.8614 2.5998 -0.0006
0.8157 0.2491 4.5158
Rh Cu Pt
1 2 1
Cartesian
2.3378 0.7139 1.1409
0.8149 0.2489 4.4770
6.9969 2.1367 3.4283
4.6626 1.4239 2.2413
```

---

--- x ---
Compound: Cu2PtRh
Source: the Alexandria database
Functional: GGA-PBE
Structure: relaxed

Summary:
The value obtained for the theoretical density is 12.83 Mg/m³. The density of states at the Fermi level is 1.337 states/eV/atom.

Cell and atoms, written as POSCAR:
```
Cu2PtRh
1.0
-0.4966 -2.3980 -1.1530
0.7535 -0.4528 -2.5600
7.7622 -3.8752 1.5393
Cu Pt Rh
2 1 1
Cartesian
5.8792 -3.1578 0.8582
1.9687 -1.6678 -0.5564
4.0135 -3.3645 -1.0854
7.9294 -5.7742 -0.9374
```

---

--- y ---
Compound: Cu2PtRh
Source: the Alexandria database
Functional: GGA-PBE
Structure: relaxed

Summary:
The value obtained for the theoretical density is 12.67 Mg/m³. The density of states at the Fermi level is 1.164 states/eV/atom.

Cell and atoms, written as POSCAR:
```
Cu2PtRh
1.0
-0.4596 -0.4865 2.5846
-0.2335 -2.0183 -1.7320
8.5790 -1.9816 1.1525
Cu Pt Rh
2 1 1
Cartesian
8.5470 -1.9742 1.1482
4.3215 -0.9982 0.5805
1.7982 -1.7478 0.7144
6.0877 -2.7386 1.2907
```

---

--- z ---
Compound: Cu2PtRh
Source: the Alexandria database
Functional: GGA-PBE
Structure: relaxed

Summary:
The value obtained for the theoretical density is 12.70 Mg/m³. The density of states at the Fermi level is 1.215 states/eV/atom.

Cell and atoms, written as POSCAR:
```
Cu2PtRh
1.0
4.7092 0.0002 0.0007
-2.3252 4.6215 -0.0018
0.0587 0.7700 2.5529
Cu Pt Rh
2 1 1
Cartesian
0.0000 0.0000 0.0000
2.3839 0.3851 1.2768
-1.1333 2.6957 1.2756
1.1920 2.3108 -0.0006
```

---

How far above the most stable structure does each one sit? In eV/atom: w 0.013; x 0.000; y 0.060; z 0.048.

---

--- w ---
Compound: Cu2PtRh
Source: the Alexandria database
Functional: GGA-PBE
Structure: relaxed

Summary:
The value obtained for the theoretical density is 13.00 Mg/m³. The density of states at the Fermi level is 1.166 states/eV/atom.

Cell and atoms, written as POSCAR:
```
Cu2PtRh
1.0
2.7361 0.0000 0.0000
0.0000 2.7361 0.0000
0.0000 0.0000 7.2521
Rh Cu Pt
1 2 1
Cartesian
1.3681 1.3681 5.5322
0.0000 0.0000 0.0768
1.3681 1.3681 1.7089
0.0000 0.0000 3.5602
```

---

--- x ---
Compound: Cu2PtRh
Source: the Alexandria database
Functional: GGA-PBE
Structure: relaxed

Summary:
The value obtained for the theoretical density is 12.66 Mg/m³. The density of states at the Fermi level is 1.344 states/eV/atom.

Cell and atoms, written as POSCAR:
```
Cu2PtRh
1.0
2.6632 -0.0021 0.0000
-1.2704 2.3406 0.0000
0.0000 0.0000 8.9455
Cu Pt Rh
2 1 1
Cartesian
0.0000 0.0000 0.0698
0.6964 1.1692 2.1356
0.0000 0.0000 4.3867
0.6964 1.1692 6.8261
```

---

How far above the most stable structure does each one sit? In eV/atom: w 0.000; x 0.102.

---

--- w ---
Compound: Cu2Pt6Rh
Source: the Alexandria database
Functional: GGA-PBE
Structure: relaxed

Summary:
The value obtained for the theoretical density is 17.45 Mg/m³. The density of states at the Fermi level is 1.239 states/eV/atom.

Cell and atoms, written as POSCAR:
```
Cu2Pt6Rh
1.0
-0.8040 1.7593 3.3678
-2.7945 -7.1654 3.0760
7.6069 -1.7865 2.7491
Cu Pt Rh
4 12 2
Cartesian
5.4003 -3.8638 3.3076
2.3562 -6.2744 6.0795
1.6523 -0.9181 3.1135
-1.3919 -3.3287 5.8854
-1.4835 -7.4575 3.5416
1.1075 -3.9426 6.8027
3.7228 -4.4801 7.7079
4.1801 -1.4619 4.0010
-0.8662 -0.3535 2.2173
0.7046 -3.2753 4.1186
6.2960 -1.4943 2.2836
2.9010 -3.2500 2.3903
0.2857 -2.7124 1.4851
-0.1716 -5.7306 5.1920
4.8747 -6.8390 6.9757
3.3039 -3.9172 5.0744
-1.7992 -2.7030 3.2219
3.8034 -0.8932 1.3746
```

---

--- x ---
Compound: Cu2Pt6Rh
Source: the Alexandria database
Functional: GGA-PBE
Structure: relaxed

Summary:
The value obtained for the theoretical density is 14.44 Mg/m³. The density of states at the Fermi level is 1.369 states/eV/atom.

Cell and atoms, written as POSCAR:
```
Cu2Pt6Rh
1.0
5.3626 -0.0001 0.0000
2.6814 4.6441 0.0000
2.6813 1.5480 6.4663
Cu Pt Rh
2 6 1
Cartesian
8.0439 4.6440 4.4851
5.3626 3.0960 2.0289
6.7086 2.3188 4.4102
5.3627 4.6503 4.4102
4.0165 2.3190 4.4102
2.6818 3.1175 2.0498
1.3218 0.7636 2.0498
4.0403 0.7628 2.0498
5.3626 3.0960 6.4565
```

---

How far above the most stable structure does each one sit? In eV/atom: w 0.000; x 0.328.